# Tl2CdRh2

An optimized crystal structure of Tl2CdRh2 (PBEsol, Alexandria via LeMat-Bulk).

Cell lengths 7.0159, 7.0159, 3.7831 Å; angles 90.00, 90.00, 90.00 degrees
Fractional coordinates of all 10 atoms:
Tl  0.1603  0.3397  0.0000
Tl  0.3397  0.8397  0.0000
Tl  0.6603  0.1603  0.0000
Tl  0.8397  0.6603  0.0000
Cd  0.0000  0.0000  0.5000
Cd  0.5000  0.5000  0.5000
Rh  0.1405  0.6405  0.5000
Rh  0.3595  0.1405  0.5000
Rh  0.6405  0.8595  0.5000
Rh  0.8595  0.3595  0.5000

## Properties
- DOS at the Fermi energy (states/eV per atom) = 0.67
- calculated formation energy (eV per atom) = 0.02
- SG = P4/mbm (127)
- calculated total energy (eV per formula unit) = -22.6
- theoretical density (Mg/m³) = 12.965



# TlCd2Rh

An optimized crystal structure of TlCd2Rh (PBEsol, Alexandria via LeMat-Bulk).

Cell lengths 6.5599, 6.5599, 6.5599 Å; angles 153.66, 139.27, 49.16 degrees
Fractional coordinates of all 4 atoms:
Tl  0.0000  0.0000  0.0000
Cd  0.3029  0.8029  0.5000
Cd  0.6971  0.1971  0.5000
Rh  0.5000  0.5000  0.0000

## Properties
- DOS at the Fermi energy (states/eV per atom) = 0.37
- calculated formation energy (eV per atom) = -0.02
- SG = Immm (71)
- calculated total energy (eV per formula unit) = -13.3
- theoretical density (Mg/m³) = 10.853



# TlCdRh

An optimized crystal structure of TlCdRh (PBEsol, Alexandria via LeMat-Bulk).

Cell lengths 5.4098, 5.4098, 5.4098 Å; angles 146.28, 140.63, 52.78 degrees
Fractional coordinates of all 3 atoms:
Tl  0.0000  0.0000  0.0000
Cd  0.6935  0.6935  0.0000
Rh  0.3438  0.3438  0.0000

## Properties
- DOS at the Fermi energy (states/eV per atom) = 0.44
- calculated formation energy (eV per atom) = 0.10
- SG = Imm2 (44)
- calculated total energy (eV per formula unit) = -11.7
- theoretical density (Mg/m³) = 12.577



# TlCd2Rh

An optimized crystal structure of TlCd2Rh (PBEsol, Alexandria via LeMat-Bulk).

Cell lengths 5.2275, 5.2275, 5.2275 Å; angles 133.52, 133.52, 67.85 degrees
Fractional coordinates of all 4 atoms:
Tl  0.0000  0.0000  0.0000
Cd  0.5000  0.5000  0.0000
Cd  0.7500  0.2500  0.5000
Rh  0.2500  0.7500  0.5000

## Properties
- DOS at the Fermi energy (states/eV per atom) = 0.42
- calculated formation energy (eV per atom) = 0.05
- SG = I-4m2 (119)
- calculated total energy (eV per formula unit) = -13.0
- theoretical density (Mg/m³) = 11.967



# Tl2CdRh

An optimized crystal structure of Tl2CdRh (PBEsol, Alexandria via LeMat-Bulk).

Cell lengths 6.9409, 6.9409, 6.9409 Å; angles 154.73, 141.74, 46.41 degrees
Fractional coordinates of all 4 atoms:
Tl  0.0000  0.0000  0.0000
Tl  0.6957  0.1957  0.5000
Cd  0.3195  0.8195  0.5000
Rh  0.5024  0.5024  0.0000

## Properties
- DOS at the Fermi energy (states/eV per atom) = 0.43
- calculated formation energy (eV per atom) = 0.04
- SG = Imm2 (44)
- calculated total energy (eV per formula unit) = -14.4
- theoretical density (Mg/m³) = 11.760



# TlCdRh

An optimized crystal structure of TlCdRh (PBEsol, Alexandria via LeMat-Bulk).

Cell lengths 6.3894, 6.3894, 6.3894 Å; angles 151.98, 151.98, 40.04 degrees
Fractional coordinates of all 3 atoms:
Tl  0.0000  0.0000  0.0000
Cd  0.7094  0.7094  0.0000
Rh  0.3516  0.3516  0.0000

## Properties
- DOS at the Fermi energy (states/eV per atom) = 0.57
- calculated formation energy (eV per atom) = 0.09
- SG = I4mm (107)
- calculated total energy (eV per formula unit) = -11.7
- theoretical density (Mg/m³) = 12.133



Look up the calculated formation energy of the fifth one. 0.04 eV per atom



Which of these has the highest theoretical density? Tl2CdRh2



What is the theoretical density in the second record? 10.853 Mg/m³



Which of these has the lowest calculated total energy? Tl2CdRh2